Record 1
TbHfAg6: relaxed, PBE-GGA.

a = 4.9287 Å, b = 6.1382 Å, c = 5.0669 Å
α = 90.00°, β = 90.00°, γ = 90.00°
Fractional coordinates of all 8 atoms:
Tb  0.0000  0.0000  0.0000
Hf  0.5000  0.5000  0.3127
Ag  0.0000  0.2658  0.4944
Ag  0.0000  0.5000  0.9948
Ag  0.0000  0.7342  0.4944
Ag  0.5000  0.0000  0.3425
Ag  0.5000  0.2586  0.8183
Ag  0.5000  0.7414  0.8183

Symmetry = No. 25
Magnetic moment = 0.01 Bohr magnetons per cell
Crystal system = orthorhombic
Formation energy = -0.131 eV per atom
Volume = 153.3 Å³ per cell



Record 2
BaMg2SiHg: relaxed, PBE-GGA.

a = 6.9509 Å, b = 6.9509 Å, c = 6.9509 Å
α = 141.12°, β = 141.12°, γ = 56.16°
Fractional coordinates of all 5 atoms:
Ba  0.0000  0.0000  0.0000
Mg  0.2353  0.7353  0.5000
Mg  0.7353  0.2353  0.5000
Si  0.6083  0.6083  0.0000
Hg  0.3820  0.3820  0.0000

Symmetry = No. 107
Crystal system = tetragonal
DFT total energy = -2.5047 eV/atom
Volume = 131.3 Å³ per cell



Record 3
DyEr2Sn3Pd2Pt: relaxed, PBE-GGA.

a = 3.9294 Å, b = 7.5670 Å, c = 7.5670 Å
α = 120.09°, β = 90.00°, γ = 90.00°
Fractional coordinates of all 9 atoms:
Dy  0.0000  0.0000  0.0000
Er  0.0000  0.2002  0.5997
Er  0.0000  0.5997  0.2002
Sn  0.5000  0.3372  0.3372
Sn  0.5000  0.5995  0.8619
Sn  0.5000  0.8619  0.5995
Pd  0.5000  0.2679  0.9325
Pd  0.5000  0.9325  0.2679
Pt  0.0000  0.5985  0.5985

Symmetry = No. 38
Magnetic moment = 0.01 Bohr magnetons per cell
Crystal system = orthorhombic
DFT total energy = -5.6614 eV/atom
Volume = 194.7 Å³ per cell



Record 4
BaScBeAu: relaxed, PBE-GGA.

a = 5.0265 Å, b = 5.0265 Å, c = 5.0265 Å
α = 60.00°, β = 60.00°, γ = 60.00°
Fractional coordinates of all 4 atoms:
Ba  0.0000  0.0000  0.0000
Sc  0.7500  0.7500  0.7500
Be  0.5000  0.5000  0.5000
Au  0.2500  0.2500  0.2500

ΔE to the lowest computed polymorph = 0.1735 eV per atom
Symmetry = No. 216
Magnetic moment = 0.00 Bohr magnetons per cell
Crystal system = cubic
Volume = 89.8 Å³ per cell



Record 5
PmNd2P3: relaxed, PBE-GGA.

a = 4.1528 Å, b = 4.1528 Å, c = 10.1776 Å
α = 90.00°, β = 90.00°, γ = 120.00°
Fractional coordinates of all 6 atoms:
Pm  0.0000  0.0000  0.0000
Nd  0.3333  0.6667  0.3326
Nd  0.6667  0.3333  0.6674
P  0.0000  0.0000  0.5000
P  0.3333  0.6667  0.8349
P  0.6667  0.3333  0.1651

Symmetry = No. 164
Magnetic moment = 0.01 Bohr magnetons per cell
Crystal system = trigonal
DFT total energy = -6.6325 eV/atom
Volume = 152.0 Å³ per cell



Record 6
Er2Lu3Mg3: relaxed, PBE-GGA.

a = 6.8186 Å, b = 6.8186 Å, c = 5.5072 Å
α = 90.00°, β = 90.00°, γ = 120.00°
Fractional coordinates of all 8 atoms:
Er  0.0000  0.0000  0.0000
Er  0.3333  0.6667  0.5000
Lu  0.0029  0.5015  0.0000
Lu  0.4985  0.5015  0.0000
Lu  0.4985  0.9971  0.0000
Mg  0.3413  0.1707  0.5000
Mg  0.8293  0.1707  0.5000
Mg  0.8293  0.6587  0.5000

ΔE to the lowest computed polymorph = 0.0505 eV per atom
Symmetry = No. 187
Magnetic moment = 1.96 Bohr magnetons per cell
Crystal system = hexagonal
Volume = 221.7 Å³ per cell



Record 7
ZnInTe2: relaxed, PBE-GGA.

a = 5.3383 Å, b = 5.3383 Å, c = 5.3383 Å
α = 60.00°, β = 60.00°, γ = 60.00°
Fractional coordinates of all 4 atoms:
Zn  0.0000  0.0000  0.0000
In  0.7500  0.7500  0.7500
Te  0.2500  0.2500  0.2500
Te  0.5000  0.5000  0.5000

Symmetry = No. 216
Crystal system = cubic
DFT total energy = -2.3915 eV/atom
Volume = 107.6 Å³ per cell



Record 8
SmGdSc2Sb2: relaxed, PBE-GGA.

a = 8.7829 Å, b = 8.7829 Å, c = 8.7829 Å
α = 151.02°, β = 151.02°, γ = 41.44°
Fractional coordinates of all 6 atoms:
Sm  0.0000  0.0000  0.0000
Gd  0.3518  0.3518  0.0000
Sc  0.1765  0.6765  0.5000
Sc  0.6765  0.1765  0.5000
Sb  0.5474  0.5474  0.0000
Sb  0.8050  0.8050  0.0000

Symmetry = No. 107
Magnetic moment = 0.95 Bohr magnetons per cell
Crystal system = tetragonal
DFT total energy = -5.9004 eV/atom
Volume = 158.6 Å³ per cell